PBE RbTiS2, relaxed; SG = P4/mmm; formation energy without anion corrections = -0.2474 eV per atom; VASP energy = -4.527 eV per atom
1.0
7.073 0.000 0.000
0.000 7.073 0.000
3.537 3.537 3.390
Rb S Ti
2 4 2
direct
0.250 0.750 0.500
0.750 0.250 0.500
0.750 0.750 0.000
0.250 0.750 0.000
0.250 0.250 0.000
0.750 0.250 0.000
0.750 0.750 0.500
0.250 0.250 0.500